No. 1
Computed, not measured: a relaxed structure of GeAsAu at the PBE level of DFT.

The structure in POSCAR format:
```
GeAsAu
1.0
3.8164 -3.1676 0.0000
3.8164 3.1676 0.0000
-3.0927 0.0000 5.6216
Ge As Au
2 2 2
direct
0.1852 0.1852 0.0781
0.8148 0.8148 0.9219
0.5714 0.0592 0.4156
0.9408 0.4286 0.5844
0.3822 0.1212 0.7530
0.8788 0.6178 0.2470
```

Results
The value obtained for the energy above the most stable polymorph in this dataset is 0.000 eV/atom. As for the crystal system: monoclinic. For the formation energy, the calculation gives -0.08 eV/atom.

***

No. 2
Computed, not measured: a relaxed structure of CeCd5Pd6 at the PBE level of DFT.

The structure in POSCAR format:
```
CeCd5Pd6
1.0
4.5685 0.0000 0.0000
0.0000 7.0648 0.0000
-1.9846 0.0000 6.8400
Ce Cd Pd
1 5 6
direct
0.0000 0.0000 0.0000
0.0000 0.5000 0.0000
0.3306 0.0000 0.6531
0.3377 0.5000 0.6703
0.6623 0.5000 0.3297
0.6694 0.0000 0.3469
0.1632 0.2557 0.3330
0.1632 0.7443 0.3330
0.5000 0.2506 0.0000
0.5000 0.7494 0.0000
0.8368 0.2557 0.6670
0.8368 0.7443 0.6670
```

Results
As for the crystal system: monoclinic. For the formation energy, the calculation gives -0.46 eV/atom.

***

No. 3
Computed, not measured: a relaxed structure of ScAgSb2Br at the PBE level of DFT.

The structure in POSCAR format:
```
ScAgSb2Br
1.0
5.2317 0.0000 0.0000
0.0000 5.2317 0.0000
0.0000 0.0000 5.6402
Sc Ag Sb Br
1 1 2 1
direct
0.0000 0.0000 0.0000
0.0000 0.0000 0.5000
0.0000 0.5000 0.5000
0.5000 0.0000 0.5000
0.5000 0.5000 0.0000
```

Results
Its uncorrected formation energy is 0.333 eV per atom. As for the crystal system: tetragonal.

***

No. 4
Computed, not measured: a relaxed structure of CuTe2As at the PBE level of DFT.

The structure in POSCAR format:
```
CuTe2As
1.0
3.5223 -2.0336 0.0000
3.5223 2.0336 0.0000
-2.3901 0.0000 6.5339
Cu Te As
1 2 1
direct
0.0000 0.0000 0.0000
0.2575 0.2575 0.7692
0.7425 0.7425 0.2308
0.5000 0.5000 0.5000
```

Results
Its uncorrected formation energy is 0.042 eV per atom. As for the crystal system: monoclinic.

***

No. 5
Computed, not measured: a relaxed structure of Al2V4W at the PBE level of DFT.

The structure in POSCAR format:
```
Al2V4W
1.0
-2.2732 2.2732 6.6550
2.2732 -2.2732 6.6550
2.2732 2.2732 -6.6550
Al V W
2 4 1
direct
0.1185 0.1185 0.0000
0.8815 0.8815 0.0000
0.0000 0.5000 0.5000
0.3171 0.3171 0.0000
0.5000 0.0000 0.5000
0.6829 0.6829 0.0000
0.5000 0.5000 0.0000
```

Results
The value obtained for the energy above the most stable polymorph in this dataset is 0.598 eV/atom. As for the crystal system: tetragonal. For the formation energy, the calculation gives 1.08 eV/atom.

***

No. 6
Computed, not measured: a relaxed structure of RbPr2Ho3Te6 at the PBE level of DFT.

The structure in POSCAR format:
```
RbPr2Ho3Te6
1.0
9.9514 -2.1956 0.0000
9.9514 2.1956 0.0000
-2.5163 0.0000 8.9377
Rb Pr Ho Te
1 2 3 6
direct
0.0000 0.0000 0.0000
0.3259 0.3259 0.6471
0.6741 0.6741 0.3529
0.0000 0.0000 0.5000
0.3364 0.3364 0.1745
0.6636 0.6636 0.8255
0.1607 0.1607 0.5956
0.1765 0.1765 0.0792
0.4996 0.4996 0.2743
0.5004 0.5004 0.7257
0.8235 0.8235 0.9208
0.8393 0.8393 0.4044
```

Results
Its uncorrected formation energy is -1.324 eV per atom. As for the crystal system: monoclinic.

***

No. 7
Computed, not measured: a relaxed structure of Pm4IrSe2Cl at the PBE level of DFT.

The structure in POSCAR format:
```
Pm4IrSe2Cl
1.0
7.2995 0.0000 0.0000
0.0000 4.0904 0.0000
-2.3623 0.0000 7.0026
Pm Ir Se Cl
4 1 2 1
direct
0.2251 0.0000 0.2295
0.2355 0.5000 0.7504
0.7645 0.5000 0.2496
0.7749 0.0000 0.7705
0.0000 0.5000 0.0000
0.0000 0.0000 0.5000
0.5000 0.5000 0.5000
0.5000 0.0000 0.0000
```

Results
Its uncorrected formation energy is -1.457 eV per atom. As for the crystal system: monoclinic.

***

No. 8
Computed, not measured: a relaxed structure of SmZn5PdAu2 at the PBE level of DFT.

The structure in POSCAR format:
```
SmZn5PdAu2
1.0
4.9092 0.0000 0.0000
0.0000 4.9092 0.0000
0.0000 0.0000 7.4701
Sm Zn Pd Au
1 5 1 2
direct
0.0000 0.0000 0.0000
0.0000 0.5000 0.3071
0.0000 0.5000 0.6929
0.5000 0.0000 0.3071
0.5000 0.0000 0.6929
0.5000 0.5000 0.0000
0.0000 0.0000 0.5000
0.5000 0.5000 0.3208
0.5000 0.5000 0.6792
```

Results
As for the crystal system: tetragonal. For the formation energy, the calculation gives -0.12 eV/atom.

***

No. 9
Computed, not measured: a relaxed structure of BaCdInAg6 at the PBE level of DFT.

The structure in POSCAR format:
```
BaCdInAg6
1.0
-3.9045 5.2376 5.4819
3.9045 -5.2376 5.4819
3.9045 5.2376 -5.4819
Ba Cd In Ag
2 2 2 12
direct
0.4826 0.2326 0.2500
0.5174 0.7674 0.7500
0.0000 0.0000 0.5000
0.0000 0.5000 0.0000
0.0000 0.0000 0.0000
0.5000 0.0000 0.5000
0.1159 0.4458 0.3055
0.1159 0.8104 0.6700
0.1808 0.9308 0.2500
0.2030 0.4530 0.7500
0.3597 0.1896 0.8055
0.3597 0.5542 0.1700
0.6403 0.4458 0.8300
0.6403 0.8104 0.1945
0.7970 0.5470 0.2500
0.8192 0.0692 0.7500
0.8841 0.1896 0.3300
0.8841 0.5542 0.6945
```

Results
As for the crystal system: orthorhombic. For the formation energy, the calculation gives 0.09 eV/atom.

***

No. 10
Computed, not measured: a relaxed structure of Ca2ScSnRu at the PBE level of DFT.

The structure in POSCAR format:
```
Ca2ScSnRu
1.0
5.3055 0.0000 0.0000
0.0000 5.3055 0.0000
0.0000 0.0000 5.1679
Ca Sc Sn Ru
2 1 1 1
direct
0.0000 0.5000 0.0000
0.5000 0.0000 0.0000
0.0000 0.0000 0.5000
0.5000 0.5000 0.5000
0.5000 0.5000 0.0000
```

Results
As for the crystal system: tetragonal. For the formation energy, the calculation gives 0.17 eV/atom.

***

No. 11
Computed, not measured: a relaxed structure of LiPuBi2S5 at the PBE level of DFT.

The structure in POSCAR format:
```
LiPuBi2S5
1.0
2.0127 -8.8488 0.0000
2.0127 8.8488 0.0000
0.0000 0.0000 13.0438
Li Pu Bi S
2 2 4 10
direct
0.0538 0.9462 0.5000
0.9462 0.0538 0.0000
0.2897 0.7103 0.1273
0.7103 0.2897 0.6273
0.3385 0.6615 0.4184
0.4456 0.5544 0.7234
0.5544 0.4456 0.2234
0.6615 0.3385 0.9184
0.0027 0.9973 0.8339
0.1364 0.8636 0.0699
0.2005 0.7995 0.4842
0.2139 0.7861 0.7713
0.4443 0.5557 0.0975
0.5557 0.4443 0.5975
0.7861 0.2139 0.2713
0.7995 0.2005 0.9842
0.8636 0.1364 0.5699
0.9973 0.0027 0.3339
```

Results
Its uncorrected formation energy is -0.812 eV per atom. As for the crystal system: orthorhombic.

***

No. 12
Computed, not measured: a relaxed structure of K2NaZn2F7 at the PBE level of DFT.

The structure in POSCAR format:
```
K2NaZn2F7
1.0
-2.0515 2.0515 10.6291
2.0515 -2.0515 10.6291
2.0515 2.0515 -10.6291
K Na Zn F
2 1 2 7
direct
0.1836 0.1836 0.0000
0.8164 0.8164 0.0000
0.0000 0.0000 0.0000
0.4047 0.4047 0.0000
0.5953 0.5953 0.0000
0.0918 0.5918 0.5000
0.3084 0.3084 0.0000
0.4082 0.9082 0.5000
0.5000 0.5000 0.0000
0.5918 0.0918 0.5000
0.6916 0.6916 0.0000
0.9082 0.4082 0.5000
```

Results
Its uncorrected formation energy is -2.552 eV per atom. As for the crystal system: tetragonal.

***

no.,magnetic moment (μB per cell)
1,0.00
2,0.51
3,0.00
4,0.00
5,3.69
6,0.00
7,0.00
8,0.00
9,0.00
10,0.00
11,10.00
12,0.00